First-principles (PBE-GGA) data for an optimized crystal structure of CuSnS2, as listed in Alexandria via LeMat-Bulk.

Properties
Magnetic moment (Bohr magnetons per cell): 0.0
E (eV per atom): -4.21
E_form (uncorrected) (eV/f.u.): -0.50

a = 6.841 Å, b = 6.562 Å, c = 5.860 Å
α = 124.05°, β = 125.71°, γ = 90.00°
Element x y z (fractional)
Cu  0.000  0.750  0.000
Cu  0.000  0.250  0.000
Sn  0.500  0.250  0.000
Sn  0.500  0.750  0.000
S  0.990  0.828  0.655
S  0.665  0.328  0.655
S  0.010  0.172  0.345
S  0.335  0.672  0.345



First-principles (PBE-GGA) data for an optimized crystal structure of ZrScPd5, as listed in Alexandria via LeMat-Bulk.

Properties
Calculated formation energy (eV/atom): -0.652
Magnetic moment (Bohr magnetons per cell): 0.0
E (eV per atom): -6.49

a = 4.075 Å, b = 4.075 Å, c = 7.532 Å
α = 90.00°, β = 90.00°, γ = 90.00°
Element x y z (fractional)
Zr  0.000  0.000  0.500
Sc  0.500  0.500  0.000
Pd  0.000  0.500  0.763
Pd  0.000  0.500  0.237
Pd  0.500  0.000  0.763
Pd  0.500  0.000  0.237
Pd  0.500  0.500  0.500